Computed, not measured: a relaxed structure of Cs2ZnCd2 at the PBE-GGA level of DFT.

Structure (POSCAR):
```
Cs2ZnCd2
1.0
-1.220 -8.031 0.182
3.882 -4.808 -4.778
5.663 -1.398 5.453
Cs Cd Zn
4 4 2
Cartesian
4.891 -6.629 2.323 Cs
2.763 -3.367 -0.171 Cs
5.560 -10.870 1.028 Cs
3.433 -7.609 -1.467 Cs
-0.344 -5.528 0.583 Cd
0.769 -7.912 1.998 Cd
3.673 -1.517 3.637 Cd
4.786 -3.901 5.052 Cd
2.997 -4.652 -3.819 Zn
-0.336 -8.187 -0.777 Zn
```

Results
Space-group type = No. 12
Fermi-level density of states = 4.07 states/eV/f.u.
Formation enthalpy at 0 K = 45 meV/atom

Computed, not measured: a relaxed structure of CsZn2Cd at the PBE-GGA level of DFT.

Structure (POSCAR):
```
CsZn2Cd
1.0
-3.727 -4.207 -0.082
3.786 -3.305 -2.519
3.123 -6.661 7.160
Zn Cs Cd
4 2 2
Cartesian
-0.145 -3.657 1.444 Zn
1.750 -5.307 0.185 Zn
3.310 -8.638 3.766 Zn
1.448 -10.744 3.724 Zn
-0.287 -7.312 2.889 Cs
0.000 0.000 0.000 Cs
3.469 -6.861 1.671 Cd
0.029 -3.756 -1.300 Cd
```

Results
Space-group type = No. 141
Fermi-level density of states = 1.32 states/eV/f.u.
Formation enthalpy at 0 K = 147 meV/atom

Computed, not measured: a relaxed structure of Cs2Zn2Cd at the PBE-GGA level of DFT.

Structure (POSCAR):
```
Cs2Zn2Cd
1.0
4.034 0.000 0.000
0.000 4.034 0.000
2.017 2.017 12.053
Zn Cs Cd
2 2 1
Cartesian
2.017 4.034 6.027 Zn
4.034 2.017 6.027 Zn
2.017 2.017 2.792 Cs
4.034 4.034 9.261 Cs
0.000 0.000 0.000 Cd
```

Results
Space-group type = No. 139
Fermi-level density of states = 1.79 states/eV/f.u.
Formation enthalpy at 0 K = 164 meV/atom

Computed, not measured: a relaxed structure of Cs2Zn2Cd3 at the PBE-GGA level of DFT.

Structure (POSCAR):
```
Cs2Zn2Cd3
1.0
-3.926 -2.134 1.252
1.786 -6.137 3.739
-1.102 1.448 7.615
Cd Cs Zn
3 2 2
Cartesian
-1.963 -1.067 0.626 Cd
-3.087 -1.131 5.595 Cd
-0.155 -5.693 7.012 Cd
0.101 -2.988 3.823 Cs
-3.343 -3.835 8.784 Cs
0.364 -4.990 9.837 Zn
-3.606 -1.833 2.769 Zn
```

Results
Space-group type = No. 12
Fermi-level density of states = 3.59 states/eV/f.u.
Formation enthalpy at 0 K = -2 meV/atom

Computed, not measured: a relaxed structure of CsZnCd4 at the PBE-GGA level of DFT.

Structure (POSCAR):
```
CsZnCd4
1.0
6.362 0.000 0.000
3.181 5.510 0.000
3.181 1.837 5.195
Cd Cs Zn
4 1 1
Cartesian
6.362 1.817 3.254 Cd
7.970 4.602 3.254 Cd
6.362 3.673 0.628 Cd
4.755 4.602 3.254 Cd
3.181 1.837 1.299 Cs
0.000 0.000 0.000 Zn
```

Results
Space-group type = No. 216
Fermi-level density of states = 3.75 states/eV/f.u.
Formation enthalpy at 0 K = 130 meV/atom

Computed, not measured: a relaxed structure of Cs12Zn5Cd3 at the PBE-GGA level of DFT.

Structure (POSCAR):
```
Cs12Zn5Cd3
1.0
-8.951 0.479 17.538
16.147 -11.217 1.174
5.076 18.283 -5.281
Cs Cd Zn
48 12 20
Cartesian
5.305 6.878 4.675 Cs
13.282 1.962 0.161 Cs
-1.009 5.582 13.270 Cs
-1.070 1.367 15.694 Cs
9.729 4.534 7.720 Cs
12.965 7.464 4.258 Cs
14.539 -7.821 1.792 Cs
4.045 -3.142 12.412 Cs
5.820 -3.032 2.255 Cs
13.642 1.906 7.719 Cs
3.631 12.188 -0.635 Cs
2.873 13.266 9.276 Cs
8.351 10.347 6.868 Cs
15.917 -3.431 0.769 Cs
11.730 -1.185 4.488 Cs
6.452 10.577 11.176 Cs
10.018 5.414 1.203 Cs
-4.191 -0.220 12.538 Cs
0.543 8.730 8.943 Cs
8.037 1.723 4.131 Cs
4.410 6.382 -0.802 Cs
-2.267 15.366 11.639 Cs
10.932 -1.835 9.241 Cs
7.862 1.162 14.232 Cs
7.228 -5.896 8.335 Cs
-1.370 5.639 5.712 Cs
8.642 -4.643 14.066 Cs
1.340 9.380 4.190 Cs
16.008 3.733 3.574 Cs
16.463 7.765 0.893 Cs
1.700 -2.854 16.490 Cs
-3.736 3.812 9.857 Cs
10.572 10.398 -3.059 Cs
4.563 16.635 -1.887 Cs
2.254 2.131 12.227 Cs
2.543 3.011 5.711 Cs
6.967 0.667 8.756 Cs
3.083 2.119 0.708 Cs
13.342 6.178 -2.263 Cs
8.227 10.686 1.019 Cs
-0.693 0.081 9.173 Cs
4.235 5.822 9.300 Cs
5.044 13.441 5.096 Cs
3.921 -2.802 6.563 Cs
7.709 -9.090 15.318 Cs
9.189 5.426 12.723 Cs
-3.645 10.976 12.662 Cs
9.399 -5.721 4.155 Cs
4.268 9.805 7.440 Cd
-4.545 3.588 14.172 Cd
7.360 13.253 -2.135 Cd
1.684 5.574 2.551 Cd
11.926 3.194 4.157 Cd
16.817 3.957 -0.741 Cd
4.913 -5.708 15.566 Cd
10.588 1.971 10.880 Cd
-0.024 -1.562 12.933 Cd
12.296 9.107 0.497 Cd
0.346 4.351 9.274 Cd
8.004 -2.260 5.990 Cd
6.990 7.340 1.524 Zn
2.469 12.489 2.762 Zn
0.000 0.000 0.000 Zn
12.895 -1.497 1.093 Zn
-0.623 9.041 12.338 Zn
1.315 -0.339 6.210 Zn
2.538 9.141 -2.641 Zn
3.598 -5.369 9.356 Zn
5.282 0.205 11.907 Zn
8.074 -5.608 0.587 Zn
10.612 3.533 -2.053 Zn
-0.253 14.954 8.679 Zn
6.136 3.772 6.715 Zn
6.067 7.121 12.118 Zn
10.958 7.884 7.221 Zn
-4.476 0.239 8.769 Zn
12.525 -7.410 4.752 Zn
9.803 -4.945 10.668 Zn
-1.937 9.381 6.128 Zn
6.205 0.424 1.312 Zn
```

Results
Space-group type = No. 230
Fermi-level density of states = 27.33 states/eV/f.u.
Formation enthalpy at 0 K = 210 meV/atom

Computed, not measured: a relaxed structure of CsZnCd11 at the PBE-GGA level of DFT.

Structure (POSCAR):
```
CsZnCd11
1.0
5.482 -0.034 2.284
2.654 7.421 1.106
-0.078 -0.017 7.908
Cd Zn Cs
11 1 1
Cartesian
2.702 -0.025 5.096 Cd
6.360 2.605 7.784 Cd
1.327 3.711 0.553 Cd
3.334 1.715 7.546 Cd
4.725 5.656 3.751 Cd
4.445 2.622 4.658 Cd
1.699 4.765 3.514 Cd
-0.039 -0.008 3.954 Cd
5.913 5.639 8.621 Cd
2.146 1.732 2.677 Cd
3.614 4.748 6.640 Cd
4.068 3.694 1.695 Zn
0.000 0.000 0.000 Cs
```

Results
Space-group type = No. 12
Fermi-level density of states = 5.15 states/eV/f.u.
Formation enthalpy at 0 K = 3 meV/atom

Computed, not measured: a relaxed structure of CsZn2Cd2 at the PBE-GGA level of DFT.

Structure (POSCAR):
```
CsZn2Cd2
1.0
-5.228 5.930 -4.099
3.983 -1.843 -7.748
-2.357 -2.504 -0.616
Cd Cs Zn
4 2 4
Cartesian
-4.219 3.112 -6.413 Cd
-2.341 0.488 -2.933 Cd
0.617 -1.530 -6.049 Cd
-1.261 1.095 -9.530 Cd
-0.622 2.043 -5.923 Cs
0.000 0.000 0.000 Cs
1.513 0.650 -8.431 Zn
0.929 -0.025 -3.453 Zn
-2.174 4.112 -8.394 Zn
-2.758 3.436 -3.416 Zn
```

Results
Space-group type = No. 127
Fermi-level density of states = 1.81 states/eV/f.u.
Formation enthalpy at 0 K = 163 meV/atom

Computed, not measured: a relaxed structure of CsZn2Cd2 at the PBE-GGA level of DFT.

Structure (POSCAR):
```
CsZn2Cd2
1.0
5.190 0.000 0.000
0.000 5.190 0.000
2.595 2.595 5.502
Zn Cd Cs
2 2 1
Cartesian
2.595 5.190 2.751 Zn
5.190 2.595 2.751 Zn
5.190 5.190 3.961 Cd
2.595 2.595 1.541 Cd
0.000 0.000 0.000 Cs
```

Results
Space-group type = No. 139
Fermi-level density of states = 3.26 states/eV/f.u.
Formation enthalpy at 0 K = 61 meV/atom

Computed, not measured: a relaxed structure of Cs2ZnCd2 at the PBE-GGA level of DFT.

Structure (POSCAR):
```
Cs2ZnCd2
1.0
4.696 0.000 1.348
2.154 4.173 1.348
-0.896 -0.546 11.973
Cs Cd Zn
2 2 1
Cartesian
3.656 2.227 4.970 Cs
2.298 1.400 9.700 Cs
2.141 1.304 1.395 Cd
3.814 2.323 13.275 Cd
0.000 0.000 0.000 Zn
```

Results
Space-group type = No. 166
Fermi-level density of states = 2.37 states/eV/f.u.
Formation enthalpy at 0 K = -16 meV/atom

Computed, not measured: a relaxed structure of Cs2ZnCd2 at the PBE-GGA level of DFT.

Structure (POSCAR):
```
Cs2ZnCd2
1.0
-3.381 -0.849 -6.703
-4.673 -5.119 3.006
-6.701 0.025 -0.881
Cs Cd Zn
2 2 1
Cartesian
-7.055 -1.904 -4.716 Cs
-7.700 -4.039 0.139 Cs
-9.809 -3.994 -3.062 Cd
-4.946 -1.950 -1.516 Cd
0.000 0.000 0.000 Zn
```

Results
Space-group type = No. 139
Fermi-level density of states = 3.93 states/eV/f.u.
Formation enthalpy at 0 K = 128 meV/atom

Computed, not measured: a relaxed structure of Cs4ZnCd2 at the PBE-GGA level of DFT.

Structure (POSCAR):
```
Cs4ZnCd2
1.0
7.331 0.000 0.000
0.000 7.331 0.000
-3.665 -3.665 9.227
Zn Cd Cs
1 2 4
Cartesian
0.000 0.000 0.000 Zn
0.000 0.000 7.708 Cd
3.665 3.665 1.519 Cd
3.665 0.000 0.000 Cs
3.665 3.665 5.418 Cs
0.000 0.000 3.809 Cs
0.000 3.665 0.000 Cs
```

Results
Space-group type = No. 139
Fermi-level density of states = 6.46 states/eV/f.u.
Formation enthalpy at 0 K = 108 meV/atom

The following size of the total moment values (in μB/cell) correspond, in order, to the records above: 0.0, 0.0, 0.0, 0.0, 0.0, 0.0, 0.0, 0.0, 0.0, 0.1, 0.0, 0.0.